Entry 1:
Computed, not measured: crystalline WN at its relaxed geometry at the PBE-GGA level of DFT.

The calculation puts the electronic total energy at -10.638 eV per atom. For the density of states at the Fermi level, the calculation gives 1.3 states/eV/f.u.

The space group is P2_1/m (No. 11) and the conventional cell measures 3.460, 2.866 and 4.163 Å, with angles of 90.00, 90.20 and 90.00 degrees. The inequivalent atoms are W at (0.171, 0.250, 0.251) and N at (0.333, 0.250, 0.751).


Entry 2:
Computed, not measured: crystalline SmDyTm2S4 at its relaxed geometry at the PBE-GGA level of DFT.

The calculation puts the electronic total energy at -6.315 eV per atom. For the density of states at the Fermi level, the calculation gives 4.4 states/eV/f.u.

The space group is P2/m (No. 10) and the conventional cell measures 6.731, 3.852 and 6.839 Å, with angles of 90.00, 108.86 and 90.00 degrees. The inequivalent atoms are Sm at (0.000, 0.000, 0.000), Dy at (0.500, 0.500, 0.000), Tm at (0.000, 0.500, 0.500), Tm at (0.500, 0.000, 0.500), S at (0.251, 0.000, 0.740) and S at (0.259, 0.500, 0.263).


Entry 3:
Computed, not measured: crystalline LaOs2Pb at its relaxed geometry at the PBE-GGA level of DFT.

The calculation puts the formation energy at 73.7 kJ/mol of atoms. For the density of states at the Fermi level, the calculation gives 3.3 states/eV/f.u.

The space group is C2/m (No. 12) and the conventional cell measures 6.361, 9.380 and 3.096 Å, with angles of 90.00, 117.49 and 90.00 degrees. The inequivalent atoms are La at (0.000, 0.000, 0.000), Os at (0.250, 0.250, 0.500) and Pb at (0.000, 0.500, 0.000).


Entry 4:
Computed, not measured: crystalline Re5C3 at its relaxed geometry at the PBE-GGA level of DFT.

The calculation puts the formation energy at 61.7 kJ/mol of atoms. The calculation puts the offset from the most stable computed form at 0 meV per atom. For the density of states at the Fermi level, the calculation gives 4.5 states/eV/f.u.

The space group is Cm (No. 8) and the conventional cell measures 5.526, 11.805 and 6.156 Å, with angles of 90.00, 103.93 and 90.00 degrees. The inequivalent atoms are Re at (0.000, 0.000, 0.000), Re at (0.016, 0.500, 0.058), Re at (0.111, 0.390, 0.696), Re at (0.238, 0.185, 0.854), Re at (0.316, 0.155, 0.285), Re at (0.376, 0.390, 0.365), C at (0.397, 0.263, 0.604), C at (0.412, 0.000, 0.435), C at (0.421, 0.500, 0.652) and C at (0.435, 0.314, 0.058).